Record 1
This record from Alexandria via LeMat-Bulk describes a geometry-optimized TcHgSb3 structure. The functional is PBE.

## Properties
- V: 165.20 Å³ per cell
- D(E_F): 4.57 states/eV per cell
- E above lowest polymorph: 1120 meV/atom
- Uncorrected formation energy: 35.2 kcal/mol of atoms
- Density: 6.673 g cm⁻³

```
TcHgSb3
1.0
5.487 0.000 0.000
0.000 5.487 0.000
0.000 0.000 5.487
Tc Hg Sb
1 1 3
Direct
0.000 0.000 0.000
0.500 0.500 0.500
0.000 0.500 0.500
0.500 0.000 0.500
0.500 0.500 0.000
```

Record 2
This record from Alexandria via LeMat-Bulk describes a geometry-optimized KGe2Au4 structure. The functional is PBE.

## Properties
- Energy of formation from the pure elements: -0.14 eV per atom
- V: 303.24 Å³ per cell
- D(E_F): 4.65 states/eV per cell
- E above lowest polymorph: 0 meV/atom
- Density: 10.648 g cm⁻³

```
KGe2Au4
1.0
4.656 0.000 0.000
0.000 13.777 0.000
0.000 0.000 4.728
K Ge Au
2 4 8
Direct
0.000 0.000 0.000
0.500 0.500 0.000
0.000 0.402 0.500
0.000 0.598 0.500
0.500 0.098 0.500
0.500 0.902 0.500
0.000 0.182 0.500
0.000 0.319 0.000
0.000 0.681 0.000
0.000 0.818 0.500
0.500 0.181 0.000
0.500 0.318 0.500
0.500 0.682 0.500
0.500 0.819 0.000
```

Record 3
This record from Alexandria via LeMat-Bulk describes a geometry-optimized BaLaZr2 structure. The functional is PBE.

## Properties
- Energy of formation from the pure elements: 0.53 eV per atom
- V: 244.17 Å³ per cell
- D(E_F): 12.57 states/eV per cell
- E above lowest polymorph: 253 meV/atom
- Density: 6.239 g cm⁻³

```
BaLaZr2
1.0
6.857 0.000 0.000
0.000 10.456 0.000
0.000 0.000 3.405
Ba La Zr
2 2 4
Direct
0.000 0.000 0.000
0.500 0.500 0.000
0.000 0.500 0.000
0.500 0.000 0.000
0.250 0.250 0.500
0.250 0.750 0.500
0.750 0.250 0.500
0.750 0.750 0.500
```

Record 4
This record from Alexandria via LeMat-Bulk describes a geometry-optimized GaPF2 structure. The functional is PBE.

## Properties
- V: 233.66 Å³ per cell
- D(E_F): 1.79 states/eV per cell
- E above lowest polymorph: 298 meV/atom
- Uncorrected formation energy: -19.9 kcal/mol of atoms
- Density: 3.943 g cm⁻³

```
GaPF2
1.0
6.838 0.000 0.000
0.000 6.838 0.000
0.000 0.000 4.997
Ga P F
4 4 8
Direct
0.000 0.000 0.000
0.000 0.500 0.250
0.500 0.000 0.750
0.500 0.500 0.500
0.000 0.000 0.500
0.000 0.500 0.750
0.500 0.000 0.250
0.500 0.500 0.000
0.127 0.250 0.125
0.250 0.627 0.375
0.250 0.873 0.875
0.373 0.250 0.625
0.627 0.750 0.625
0.750 0.127 0.875
0.750 0.373 0.375
0.873 0.750 0.125
```

Record 5
This record from Alexandria via LeMat-Bulk describes a geometry-optimized TbPr12Dy5 structure. The functional is PBE.

## Properties
- Energy of formation from the pure elements: 0.02 eV per atom
- V: 624.58 Å³ per cell
- D(E_F): 29.18 states/eV per cell
- Density: 7.078 g cm⁻³

```
TbPr12Dy5
1.0
10.965 0.000 0.000
0.000 5.188 0.000
-0.046 0.000 10.980
Tb Pr Dy
1 12 5
Direct
0.000 0.000 0.000
0.002 0.000 0.668
0.165 0.500 0.165
0.169 0.500 0.502
0.331 0.000 0.998
0.336 0.000 0.336
0.498 0.500 0.831
0.502 0.500 0.169
0.664 0.000 0.664
0.669 0.000 0.002
0.831 0.500 0.498
0.835 0.500 0.835
0.998 0.000 0.332
0.167 0.500 0.833
0.333 0.000 0.667
0.500 0.500 0.500
0.667 0.000 0.333
0.833 0.500 0.167
```

Record 6
This record from Alexandria via LeMat-Bulk describes a geometry-optimized EuZrSn2 structure. The functional is PBE.

## Properties
- Energy of formation from the pure elements: -0.35 eV per atom
- V: 352.18 Å³ per cell
- D(E_F): 34.27 states/eV per cell
- E above lowest polymorph: 130 meV/atom
- Density: 6.798 g cm⁻³

```
EuZrSn2
1.0
4.231 0.000 0.000
-2.115 3.664 0.000
0.000 0.000 22.722
Eu Zr Sn
3 3 6
Direct
0.000 0.000 0.000
0.333 0.667 0.667
0.667 0.333 0.333
0.000 0.000 0.500
0.333 0.667 0.167
0.667 0.333 0.833
0.000 0.000 0.239
0.000 0.000 0.761
0.333 0.667 0.428
0.333 0.667 0.906
0.667 0.333 0.094
0.667 0.333 0.572
```

Record 7
This record from Alexandria via LeMat-Bulk describes a geometry-optimized KCaAcBr6 structure. The functional is PBE.

## Properties
- V: 743.65 Å³ per cell
- D(E_F): 0.00 states/eV per cell
- Uncorrected formation energy: -45.6 kcal/mol of atoms
- Density: 3.508 g cm⁻³

```
KCaAcBr6
1.0
7.776 0.000 0.000
-3.888 6.734 0.000
0.000 0.000 14.201
K Ca Ac Br
2 2 2 12
Direct
0.000 0.000 0.000
0.000 0.000 0.500
0.333 0.667 0.250
0.667 0.333 0.750
0.333 0.667 0.750
0.667 0.333 0.250
0.012 0.370 0.133
0.012 0.643 0.367
0.357 0.370 0.367
0.357 0.988 0.133
0.370 0.012 0.633
0.370 0.357 0.867
0.630 0.643 0.133
0.630 0.988 0.367
0.643 0.012 0.867
0.643 0.630 0.633
0.988 0.357 0.633
0.988 0.630 0.867
```

Record 8
This record from Alexandria via LeMat-Bulk describes a geometry-optimized K2MgZn structure. The functional is PBE.

## Properties
- Energy of formation from the pure elements: 0.25 eV per atom
- V: 643.39 Å³ per cell
- D(E_F): 13.52 states/eV per cell
- E above lowest polymorph: 140 meV/atom
- Density: 1.733 g cm⁻³

```
K2MgZn
1.0
8.633 0.000 0.000
0.000 8.633 0.000
0.000 0.000 8.633
K Mg Zn
8 4 4
Direct
0.250 0.250 0.250
0.250 0.250 0.750
0.250 0.750 0.250
0.250 0.750 0.750
0.750 0.250 0.250
0.750 0.250 0.750
0.750 0.750 0.250
0.750 0.750 0.750
0.000 0.000 0.000
0.000 0.500 0.500
0.500 0.000 0.500
0.500 0.500 0.000
0.000 0.000 0.500
0.000 0.500 0.000
0.500 0.000 0.000
0.500 0.500 0.500
```

Record 9
This record from Alexandria via LeMat-Bulk describes a geometry-optimized HfSc3Zn2 structure. The functional is PBE.

## Properties
- Energy of formation from the pure elements: -0.23 eV per atom
- V: 121.83 Å³ per cell
- D(E_F): 7.03 states/eV per cell
- Density: 6.054 g cm⁻³

```
HfSc3Zn2
1.0
3.244 0.000 0.000
0.000 3.244 0.000
0.000 0.000 11.575
Hf Sc Zn
1 3 2
Direct
0.000 0.000 0.000
0.500 0.500 0.190
0.500 0.500 0.500
0.500 0.500 0.810
0.000 0.000 0.349
0.000 0.000 0.651
```

Record 10
This record from Alexandria via LeMat-Bulk describes a geometry-optimized K4PuU3Te8 structure. The functional is PBE.

## Properties
- V: 595.74 Å³ per cell
- D(E_F): 30.06 states/eV per cell
- Uncorrected formation energy: -20.8 kcal/mol of atoms
- Density: 5.952 g cm⁻³

```
K4PuU3Te8
1.0
7.951 -4.548 0.000
7.951 4.548 0.000
-5.308 0.000 8.238
K Pu U Te
4 1 3 8
Direct
0.000 0.000 0.000
0.000 0.500 0.000
0.500 0.000 0.000
0.500 0.500 0.000
0.000 0.000 0.500
0.000 0.500 0.500
0.500 0.000 0.500
0.500 0.500 0.500
0.239 0.734 0.712
0.240 0.240 0.712
0.263 0.263 0.288
0.266 0.761 0.288
0.734 0.239 0.712
0.737 0.737 0.712
0.760 0.760 0.288
0.761 0.266 0.288
```

Record 11
This record from Alexandria via LeMat-Bulk describes a geometry-optimized Mg2NbCrI structure. The functional is PBE.

## Properties
- V: 140.66 Å³ per cell
- D(E_F): 4.55 states/eV per cell
- Uncorrected formation energy: 26.0 kcal/mol of atoms
- Density: 3.783 g cm⁻³

```
Mg2NbCrI
1.0
5.696 0.000 0.000
0.000 5.696 0.000
0.000 0.000 4.335
Mg Nb Cr I
2 1 1 1
Direct
0.000 0.500 0.000
0.500 0.000 0.000
0.000 0.000 0.000
0.000 0.000 0.500
0.500 0.500 0.500
```

Record 12
This record from Alexandria via LeMat-Bulk describes a geometry-optimized PRuSe2 structure. The functional is PBE.

## Properties
- V: 137.16 Å³ per cell
- D(E_F): 4.44 states/eV per cell
- Uncorrected formation energy: 5.1 kcal/mol of atoms
- Density: 7.021 g cm⁻³

```
PRuSe2
1.0
5.168 0.000 0.000
0.000 5.168 0.000
0.000 0.000 5.135
P Ru Se
2 2 4
Direct
0.000 0.000 0.000
0.500 0.500 0.500
0.000 0.000 0.500
0.500 0.500 0.000
0.000 0.500 0.000
0.000 0.500 0.500
0.500 0.000 0.000
0.500 0.000 0.500
```

Record 13
This record from Alexandria via LeMat-Bulk describes a geometry-optimized ReSb2Rh structure. The functional is PBE.

## Properties
- V: 221.95 Å³ per cell
- D(E_F): 6.86 states/eV per cell
- E above lowest polymorph: 71 meV/atom
- Uncorrected formation energy: 5.1 kcal/mol of atoms
- Density: 11.955 g cm⁻³

```
ReSb2Rh
1.0
3.229 0.000 0.000
-1.614 2.796 0.000
0.000 0.000 24.583
Re Sb Rh
3 6 3
Direct
0.000 0.000 0.000
0.333 0.667 0.667
0.667 0.333 0.333
0.000 0.000 0.250
0.000 0.000 0.750
0.333 0.667 0.417
0.333 0.667 0.917
0.667 0.333 0.083
0.667 0.333 0.583
0.000 0.000 0.500
0.333 0.667 0.167
0.667 0.333 0.833
```

Record 14
This record from Alexandria via LeMat-Bulk describes a geometry-optimized Ce2SiCl structure. The functional is PBE.

## Properties
- V: 300.53 Å³ per cell
- D(E_F): 29.69 states/eV per cell
- E above lowest polymorph: 22 meV/atom
- Uncorrected formation energy: -25.0 kcal/mol of atoms
- Density: 5.698 g cm⁻³

```
Ce2SiCl
1.0
4.210 0.000 0.000
-2.105 3.646 0.000
0.000 0.000 19.575
Ce Si Cl
6 3 3
Direct
0.000 0.000 0.249
0.000 0.000 0.751
0.333 0.667 0.418
0.333 0.667 0.915
0.667 0.333 0.085
0.667 0.333 0.582
0.000 0.000 0.500
0.333 0.667 0.167
0.667 0.333 0.833
0.000 0.000 0.000
0.333 0.667 0.667
0.667 0.333 0.333
```

Record 15
This record from Alexandria via LeMat-Bulk describes a geometry-optimized CsGaIO2 structure. The functional is PBE.

## Properties
- V: 116.66 Å³ per cell
- D(E_F): 3.37 states/eV per cell
- Uncorrected formation energy: -9.0 kcal/mol of atoms
- Density: 5.146 g cm⁻³

```
CsGaIO2
1.0
4.581 0.000 0.000
0.000 4.581 0.000
0.000 0.000 5.558
Cs Ga I O
1 1 1 2
Direct
0.000 0.000 0.000
0.500 0.500 0.500
0.500 0.500 0.000
0.000 0.500 0.500
0.500 0.000 0.500
```

Record 16
This record from Alexandria via LeMat-Bulk describes a geometry-optimized Pr3Al8Ag3 structure. The functional is PBE.

## Properties
- Energy of formation from the pure elements: -0.39 eV per atom
- V: 291.14 Å³ per cell
- D(E_F): 3.22 states/eV per cell
- Density: 5.488 g cm⁻³

```
Pr3Al8Ag3
1.0
-2.244 4.926 6.586
2.244 -4.926 6.586
2.244 4.926 -6.586
Pr Al Ag
3 8 3
Direct
0.000 0.000 0.000
0.300 0.300 0.000
0.700 0.700 0.000
0.026 0.661 0.365
0.147 0.865 0.282
0.296 0.661 0.635
0.418 0.135 0.282
0.582 0.865 0.718
0.704 0.339 0.365
0.853 0.135 0.718
0.974 0.339 0.635
0.296 0.500 0.796
0.500 0.000 0.500
0.704 0.500 0.204
```

Record 17
This record from Alexandria via LeMat-Bulk describes a geometry-optimized BeCoP2Cl structure. The functional is PBE.

## Properties
- V: 82.83 Å³ per cell
- D(E_F): 4.03 states/eV per cell
- E above lowest polymorph: 68 meV/atom
- Uncorrected formation energy: 18.6 kcal/mol of atoms
- Density: 3.315 g cm⁻³

```
BeCoP2Cl
1.0
4.145 0.000 0.000
0.000 4.145 0.000
0.000 0.000 4.820
Be Co P Cl
1 1 2 1
Direct
0.000 0.000 0.000
0.500 0.500 0.500
0.000 0.500 0.000
0.500 0.000 0.000
0.000 0.000 0.500
```

Record 18
This record from Alexandria via LeMat-Bulk describes a geometry-optimized KPtW4 structure. The functional is PBE.

## Properties
- Energy of formation from the pure elements: 1.06 eV per atom
- V: 111.81 Å³ per cell
- D(E_F): 4.86 states/eV per cell
- Density: 14.399 g cm⁻³

```
KPtW4
1.0
0.000 3.824 3.824
3.824 0.000 3.824
3.824 3.824 0.000
K Pt W
1 1 4
Direct
0.000 0.000 0.000
0.750 0.750 0.750
0.373 0.373 0.373
0.373 0.373 0.881
0.373 0.881 0.373
0.881 0.373 0.373
```

Record 19
This record from Alexandria via LeMat-Bulk describes a geometry-optimized LaSc2W structure. The functional is PBE.

## Properties
- Energy of formation from the pure elements: 0.34 eV per atom
- V: 99.18 Å³ per cell
- D(E_F): 5.32 states/eV per cell
- Density: 6.909 g cm⁻³

```
LaSc2W
1.0
3.658 0.000 0.000
0.000 3.658 0.000
0.000 0.000 7.413
La Sc W
1 2 1
Direct
0.000 0.000 0.000
0.000 0.000 0.575
0.500 0.500 0.349
0.500 0.500 0.737
```

Record 20
This record from Alexandria via LeMat-Bulk describes a geometry-optimized Y2CrCd structure. The functional is PBE.

## Properties
- Energy of formation from the pure elements: 0.18 eV per atom
- V: 391.40 Å³ per cell
- D(E_F): 17.29 states/eV per cell
- Density: 5.807 g cm⁻³

```
Y2CrCd
1.0
12.844 0.000 0.000
0.000 3.337 0.000
-0.165 0.000 9.134
Y Cr Cd
8 4 4
Direct
0.000 0.000 0.000
0.030 0.500 0.345
0.239 0.500 0.915
0.413 0.000 0.675
0.500 0.500 0.000
0.530 0.000 0.345
0.739 0.000 0.915
0.913 0.500 0.675
0.190 0.000 0.188
0.338 0.000 0.165
0.690 0.500 0.188
0.838 0.500 0.165
0.138 0.000 0.630
0.291 0.500 0.415
0.638 0.500 0.630
0.791 0.000 0.415
```